## LiMgB3H18N2 (PBE-GGA)

Data for a geometry-optimized LiMgB3H18N2 structure. Values from VASP.

Quantum ESPRESSO input file:
```
&SYSTEM
  ibrav = 0, nat = 50, ntyp = 5
/
ATOMIC_SPECIES
Li 6.94 Li.upf
Mg 24.30 Mg.upf
B 10.81 B.upf
H 1.01 H.upf
N 14.01 N.upf
ATOMIC_POSITIONS angstrom
Li 0.000 0.000 0.000
Li 0.000 0.000 3.983
Mg 0.000 4.509 1.977
Mg 3.905 2.255 5.959
B -0.772 2.068 1.984
B -1.728 6.398 1.984
B 1.405 1.703 5.967
B 2.500 5.061 1.984
B 5.633 0.366 5.967
B 4.677 4.695 5.967
H -2.901 5.328 6.987
H -2.888 5.340 4.958
H -1.529 3.044 1.982
H -2.014 5.203 1.975
H 0.725 1.592 4.958
H 0.742 1.588 6.987
H -0.941 4.638 7.414
H -0.938 4.653 4.506
H 0.406 2.418 1.975
H 1.746 0.152 3.004
H 1.741 0.169 0.975
H 0.345 3.625 4.506
H 0.358 3.630 7.414
H 2.298 0.857 5.958
H -0.505 6.567 1.982
H 1.871 2.846 5.965
H 0.582 5.259 7.414
H 0.594 5.250 4.506
H 3.311 1.514 0.523
H 3.323 1.505 3.431
H 2.034 3.918 1.982
H 4.410 0.197 5.965
H 1.608 5.907 1.975
H 3.547 3.134 3.431
H 3.561 3.139 0.523
H 2.164 6.595 4.958
H 2.159 6.612 6.987
H 3.499 4.346 5.958
H 4.844 2.111 0.523
H 4.846 2.125 3.431
H 3.163 5.176 3.004
H 3.181 5.172 0.975
H 5.919 1.561 5.958
H 5.435 3.720 5.965
H 6.794 1.424 0.975
H 6.806 1.436 3.004
N 0.000 4.509 4.116
N 0.000 4.509 7.805
N 3.905 2.255 0.133
N 3.905 2.255 3.822
CELL_PARAMETERS angstrom
7.810 0.000 0.000
-3.905 6.764 0.000
0.000 0.000 7.966
```

As for the total moment: 0.0 Bohr magnetons per cell. The electronic total energy is -4.361 eV/atom. The density is 0.87 g/cm3. The space-group type is P6_3.